[1]
Density functional theory data (PBE) for Na2PuTaO6 after structural relaxation. Values from VASP.

Structure (Quantum ESPRESSO input):
```
&SYSTEM
  ibrav = 0, nat = 20, ntyp = 4
/
ATOMIC_SPECIES
Na 22.99 Na.upf
Pu 244.00 Pu.upf
Ta 180.95 Ta.upf
O 16.00 O.upf
CELL_PARAMETERS angstrom
5.648 0.000 -0.022
0.000 5.749 0.000
0.018 0.000 8.066
ATOMIC_POSITIONS crystal
Na 0.006 0.971 0.250
Na 0.506 0.529 0.750
Na 0.994 0.029 0.750
Na 0.494 0.471 0.250
Pu 0.500 0.000 0.000
Pu 0.000 0.500 0.500
Ta 0.500 0.000 0.500
Ta 0.000 0.500 0.000
O 0.285 0.701 0.041
O 0.785 0.799 0.541
O 0.715 0.299 0.959
O 0.215 0.201 0.459
O 0.302 0.717 0.457
O 0.802 0.783 0.957
O 0.698 0.283 0.543
O 0.198 0.217 0.043
O 0.919 0.522 0.241
O 0.419 0.978 0.741
O 0.081 0.478 0.759
O 0.581 0.022 0.259
```

Results
* formation energy from raw total energies: -2.55 eV/atom
* total moment: 3.0 μB per formula unit
* symmetry: P2_1/c, No. 14


[2]
Density functional theory data (PBE) for Na2TbPuO4 after structural relaxation. Values from VASP.

Structure (Quantum ESPRESSO input):
```
&SYSTEM
  ibrav = 0, nat = 8, ntyp = 4
/
ATOMIC_SPECIES
Na 22.99 Na.upf
Tb 158.93 Tb.upf
Pu 244.00 Pu.upf
O 16.00 O.upf
CELL_PARAMETERS angstrom
3.489 0.000 0.000
0.000 6.036 0.098
0.000 -2.114 5.572
ATOMIC_POSITIONS crystal
Na 0.500 0.000 0.500
Na 0.000 0.500 0.500
Tb 0.500 0.500 0.000
Pu 0.000 0.000 0.000
O 0.500 0.240 0.213
O 0.500 0.760 0.787
O 0.000 0.266 0.786
O 0.000 0.734 0.214
```

Results
* formation energy from raw total energies: -2.57 eV/atom
* total moment: 5.0 μB per formula unit
* symmetry: P2/m, No. 10


[3]
Density functional theory data (PBE) for Na3Tb2PuO6 after structural relaxation. Values from VASP.

Structure (Quantum ESPRESSO input):
```
&SYSTEM
  ibrav = 0, nat = 12, ntyp = 4
/
ATOMIC_SPECIES
Na 22.99 Na.upf
Tb 158.93 Tb.upf
Pu 244.00 Pu.upf
O 16.00 O.upf
CELL_PARAMETERS angstrom
-0.115 1.297 5.881
-3.025 -4.771 -2.091
5.566 -2.058 -0.466
ATOMIC_POSITIONS crystal
Na 0.168 0.832 0.500
Na 0.832 0.168 0.500
Na 0.500 0.500 0.500
Tb 0.333 0.667 0.000
Tb 0.667 0.333 0.000
Pu 0.000 0.000 0.000
O 0.929 0.591 0.787
O 0.733 0.733 0.214
O 0.071 0.409 0.213
O 0.591 0.929 0.787
O 0.267 0.267 0.786
O 0.409 0.071 0.213
```

Results
* formation energy from raw total energies: -2.62 eV/atom
* total moment: 5.0 μB per formula unit
* symmetry: C2/m, No. 12


[4]
Density functional theory data (PBE) for Na2Tb2PuO6 after structural relaxation. Values from VASP.

Structure (Quantum ESPRESSO input):
```
&SYSTEM
  ibrav = 0, nat = 11, ntyp = 4
/
ATOMIC_SPECIES
Na 22.99 Na.upf
Tb 158.93 Tb.upf
Pu 244.00 Pu.upf
O 16.00 O.upf
CELL_PARAMETERS angstrom
6.014 -0.023 0.095
-2.992 5.217 0.095
-1.043 -1.794 5.561
ATOMIC_POSITIONS crystal
Na 0.832 0.168 0.000
Na 0.168 0.832 0.000
Tb 0.335 0.665 0.500
Tb 0.665 0.335 0.500
Pu 0.000 0.000 0.500
O 0.751 0.751 0.697
O 0.051 0.389 0.699
O 0.249 0.249 0.303
O 0.389 0.051 0.699
O 0.949 0.611 0.301
O 0.611 0.949 0.301
```

Results
* formation energy from raw total energies: -2.79 eV/atom
* total moment: 4.0 μB per formula unit
* symmetry: C2/m, No. 12


[5]
Density functional theory data (PBE) for NaPu2TcO8 after structural relaxation. Values from VASP.

Structure (Quantum ESPRESSO input):
```
&SYSTEM
  ibrav = 0, nat = 12, ntyp = 4
/
ATOMIC_SPECIES
Na 22.99 Na.upf
Pu 244.00 Pu.upf
Tc 98.00 Tc.upf
O 16.00 O.upf
CELL_PARAMETERS angstrom
-1.020 -4.631 -1.207
4.769 -0.989 -0.438
0.238 -1.771 6.593
ATOMIC_POSITIONS crystal
Na 0.000 0.000 0.500
Pu 0.500 0.500 0.751
Pu 0.500 0.500 0.249
Tc 0.000 0.000 0.000
O 0.194 0.805 0.207
O 0.709 0.710 0.000
O 0.806 0.195 0.207
O 0.806 0.195 0.793
O 0.291 0.290 0.000
O 0.194 0.805 0.793
O 0.677 0.678 0.500
O 0.323 0.322 0.500
```

Results
* formation energy from raw total energies: -2.21 eV/atom
* total moment: 8.0 μB per formula unit
* symmetry: Cmmm, No. 65


[6]
Density functional theory data (PBE) for NaPuTe2O8 after structural relaxation. Values from VASP.

Structure (Quantum ESPRESSO input):
```
&SYSTEM
  ibrav = 0, nat = 12, ntyp = 4
/
ATOMIC_SPECIES
Na 22.99 Na.upf
Pu 244.00 Pu.upf
Te 127.60 Te.upf
O 16.00 O.upf
CELL_PARAMETERS angstrom
6.286 0.097 0.000
-2.701 5.677 0.000
-1.793 -2.887 5.289
ATOMIC_POSITIONS crystal
Na 0.000 0.000 0.000
Pu 0.250 0.750 0.500
Te 0.750 0.250 0.500
Te 0.500 0.500 0.000
O 0.383 0.066 0.317
O 0.329 0.526 0.197
O 0.329 0.131 0.803
O 0.749 0.066 0.683
O 0.869 0.671 0.197
O 0.934 0.251 0.317
O 0.934 0.617 0.683
O 0.474 0.671 0.803
```

Results
* formation energy from raw total energies: -1.41 eV/atom
* total moment: 5.0 μB per formula unit
* symmetry: I-4m2, No. 119


[7]
Density functional theory data (PBE) for NaPu2TeO8 after structural relaxation. Values from VASP.

Structure (Quantum ESPRESSO input):
```
&SYSTEM
  ibrav = 0, nat = 12, ntyp = 4
/
ATOMIC_SPECIES
Na 22.99 Na.upf
Pu 244.00 Pu.upf
Te 127.60 Te.upf
O 16.00 O.upf
CELL_PARAMETERS angstrom
-4.158 -1.548 -2.332
1.747 -4.682 -0.366
-2.843 -1.536 6.090
ATOMIC_POSITIONS crystal
Na 0.000 0.000 0.500
Pu 0.500 0.500 0.748
Pu 0.500 0.500 0.252
Te 0.000 0.000 0.000
O 0.208 0.792 0.230
O 0.697 0.697 0.000
O 0.792 0.208 0.230
O 0.792 0.208 0.770
O 0.303 0.303 0.000
O 0.208 0.792 0.770
O 0.672 0.673 0.500
O 0.328 0.327 0.500
```

Results
* formation energy from raw total energies: -2.08 eV/atom
* total moment: 5.0 μB per formula unit
* symmetry: Cmmm, No. 65


[8]
Density functional theory data (PBE) for NaPuTeO5 after structural relaxation. Values from VASP.

Structure (Quantum ESPRESSO input):
```
&SYSTEM
  ibrav = 0, nat = 16, ntyp = 4
/
ATOMIC_SPECIES
Na 22.99 Na.upf
Pu 244.00 Pu.upf
Te 127.60 Te.upf
O 16.00 O.upf
CELL_PARAMETERS angstrom
-2.887 5.077 -1.811
-4.921 -3.574 -0.640
1.986 0.657 8.305
ATOMIC_POSITIONS crystal
Na 0.316 0.684 0.250
Na 0.684 0.316 0.750
Pu 0.000 0.000 0.500
Pu 0.000 0.000 0.000
Te 0.685 0.315 0.250
Te 0.315 0.685 0.750
O 0.001 0.999 0.250
O 0.999 0.001 0.750
O 0.806 0.259 0.021
O 0.194 0.741 0.979
O 0.741 0.194 0.479
O 0.259 0.806 0.521
O 0.723 0.649 0.352
O 0.277 0.351 0.648
O 0.351 0.277 0.148
O 0.649 0.723 0.852
```

Results
* formation energy from raw total energies: -1.89 eV/atom
* total moment: 3.0 μB per formula unit
* symmetry: C2/c, No. 15


formation energy from raw total energies of number 6 (NaPuTe2O8)?
-1.41 eV/atom


Which of these has the highest formation energy from raw total energies?
NaPuTe2O8


Among the records above, which one has the highest total moment?
NaPu2TcO8


What is the formula in the seventh record?
NaPu2TeO8